The following is a PBE calculation of Sm2Dy5 after structural relaxation, from Alexandria via LeMat-Bulk.

Summary:
- Space group: C2/c
- Final energy: -4.6214 eV per atom
- Total magnetization: 0.00 μB per formula unit
- Energy of formation from the pure elements: 1.4 kJ/mol of atoms
- Crystal system: monoclinic

Cell and atoms, written as POSCAR:
```
Sm2Dy5
1.0
6.294 0.000 0.000
0.000 9.227 0.334
-3.147 -1.065 7.809
Sm Dy
4 10
Cartesian
-1.053 2.713 6.815
2.094 0.836 1.162
4.200 5.449 1.329
1.053 7.327 6.982
1.040 3.981 2.407
-2.107 -0.432 5.570
-1.048 5.653 4.691
2.099 7.123 3.620
4.195 2.510 3.453
1.048 1.039 4.523
5.254 8.594 2.574
2.107 4.181 5.737
5.252 2.307 0.084
1.042 6.920 0.251
```